{"formula": "Li2Co2NiO6", "functional": "GGA+U", "state": "relaxed", "lattice_angstrom": [[-1.8271, -4.7855, 2.4868], [5.3338, -2.2879, -1.0365], [0.8464, 3.9070, 5.0727]], "species": ["Ni", "O", "Co", "O", "O", "O", "O", "O", "O", "Co", "Li", "O", "Li", "O", "O", "O", "Ni", "Li", "O", "Li", "Co", "Co"], "fractional_positions": [[0.0000, 0.5000, 0.5000], [0.9308, 0.3845, 0.1861], [0.1708, 0.1653, 0.1668], [0.4388, 0.3840, 0.1743], [0.7374, 0.7390, 0.5156], [0.5612, 0.6160, 0.8257], [0.0692, 0.6155, 0.8139], [0.2473, 0.7419, 0.5294], [0.4115, 0.9451, 0.1494], [0.8292, 0.8347, 0.8332], [0.7014, 0.6412, 0.1494], [0.2626, 0.2610, 0.4844], [0.2986, 0.3588, 0.8506], [0.5885, 0.0549, 0.8506], [0.0962, 0.0563, 0.8502], [0.9038, 0.9437, 0.1498], [0.5000, 0.5000, 0.5000], [0.0000, 0.0000, 0.5000], [0.7527, 0.2581, 0.4706], [0.5000, 0.0000, 0.5000], [0.3289, 0.8350, 0.8373], [0.6711, 0.1650, 0.1627]], "final_energy_ry_per_atom": -0.3978, "spacegroup": "No. 2", "magmom_total_mub_per_fu": 1.99}